Entry 1:
{
  "formula": "TlInIr2",
  "functional": "PBE",
  "state": "relaxed",
  "de_polymorph_mev_per_atom": 890.4,
  "lattice": [[-3.058, 3.058, 6.055], [3.058, -3.058, 6.055], [3.058, 3.058, -6.055]],
  "species": ["Tl", "Tl", "In", "In", "Ir", "Ir", "Ir", "Ir"],
  "fractional_positions": [[0.000, 0.000, 0.000], [0.750, 0.250, 0.500], [0.250, 0.750, 0.500], [0.500, 0.500, 0.000], [0.132, 0.625, 0.007], [0.375, 0.382, 0.507], [0.618, 0.125, 0.993], [0.875, 0.868, 0.493]]
}

***

Entry 2:
{
  "formula": "TlInIr2",
  "functional": "PBE",
  "state": "relaxed",
  "de_polymorph_mev_per_atom": 190.5,
  "lattice": [[1.568, -2.598, 0.000], [1.568, 2.598, 0.000], [0.000, 0.000, 9.109]],
  "species": ["Tl", "In", "Ir", "Ir"],
  "fractional_positions": [[0.000, 0.000, 0.000], [0.000, 0.000, 0.500], [0.500, 0.500, 0.260], [0.500, 0.500, 0.740]]
}

***

ΔE_f (computed, eV per atom): 1.161, 0.461
Spin magnetization (computed, μB/atom): 0.0000, 0.0000